Pa2GaOs | PBE-GGA | relaxed

Values from the calculation:
The calculation puts the energy relative to the lowest polymorph listed for this composition at 66.6 kJ/mol of formula units. Its volume is 262.7 Å³ per cell.

Cell lengths 4.5925, 4.5925, 14.3799 Å; angles 90.00, 90.00, 120.00 degrees
Space group R-3m (No. 166, hexagonal axes)
Asymmetric unit:
Pa 0.0000 0.0000 0.2450 x6
Ga 0.0000 0.0000 0.0000 x3
Os 0.0000 0.0000 0.5000 x3

***

Ce3HoTh2Sb6 | PBE-GGA | relaxed

Values from the calculation:
The value obtained for the raw formation energy is -1.023 eV per atom. Its volume is 766.1 Å³ per cell.

Cell lengths 7.751, 13.431, 7.801 Å; angles 90.00, 109.37, 90.00 degrees
Space group C2/m (No. 12)
Asymmetric unit:
Ce 0.000 0.000 0.000 x2
Ce 0.000 0.331 0.000 x4
Ho 0.000 0.500 0.500 x2
Th 0.000 0.166 0.500 x4
Sb 0.245 0.500 0.250 x4
Sb 0.246 0.336 0.747 x8

***

TaSi4 | PBE-GGA | relaxed

Values from the calculation:
The calculation puts the energy relative to the lowest polymorph listed for this composition at 0.0 kJ/mol of formula units. The value obtained for the raw formation energy is 0.021 eV per atom. Its volume is 143.4 Å³ per cell.

Cell lengths 6.329, 6.329, 3.581 Å; angles 90.00, 90.00, 90.00 degrees
Space group I4/m (No. 87)
Asymmetric unit:
Ta 0.000 0.000 0.000 x2
Si 0.116 0.318 0.500 x8

***

RhPb6 | PBE-GGA | relaxed

Values from the calculation:
Its total energy is -118.51 eV per cell. Its volume is 839.5 Å³ per cell.

Cell lengths 10.727, 10.655, 7.344 Å; angles 90.00, 90.00, 90.00 degrees
Space group Cmcm (No. 63)
Asymmetric unit:
Rh 0.000 0.151 0.250 x4
Pb 0.000 0.346 0.522 x8
Pb 0.153 0.000 0.000 x8
Pb 0.244 0.261 0.250 x8

***

AcTbNdEr2 | PBE-GGA | relaxed

Values from the calculation:
Its total energy is -82.96 eV per cell. Its volume is 733.6 Å³ per cell.

Cell lengths 6.442, 17.495, 6.509 Å; angles 90.00, 90.00, 90.00 degrees
Space group Cmcm (No. 63)
Asymmetric unit:
Ac 0.000 0.158 0.250 x4
Tb 0.000 0.229 0.750 x4
Nd 0.000 0.348 0.250 x4
Er 0.249 0.000 0.000 x8

***

LaReI2O | PBE-GGA | relaxed

Values from the calculation:
The calculation puts the energy relative to the lowest polymorph listed for this composition at 0.0 kJ/mol of formula units. The value obtained for the raw formation energy is -0.452 eV per atom. Its volume is 126.3 Å³ per cell.

Cell lengths 5.761, 5.761, 3.807 Å; angles 90.00, 90.00, 90.00 degrees
Space group P4/mmm (No. 123)
Asymmetric unit:
La 0.000 0.000 0.000 x1
Re 0.500 0.500 0.500 x1
I 0.000 0.500 0.500 x2
O 0.500 0.500 0.000 x1